Arrangement one

DFT (PBE-GGA) results for a geometry-optimized La4Sb2Te structure.

a = 5.8078 Å, b = 5.8078 Å, c = 9.2926 Å
α = 71.79°, β = 71.79°, γ = 90.00°
Last column: nearest neighbours and their distance in Å.
Positions (direct):
1 Sb 0.3734 0.3734 0.2533  1 La 3.16
2 Sb 0.6266 0.6266 0.7467  1 La 3.16
3 Te 0.0000 0.0000 0.0000  6 La 2.90-3.07
4 La 0.1839 0.1839 0.6321  1 Te 3.07, 1 Sb 3.16
5 La 0.8161 0.8161 0.3679  1 Te 3.07, 1 Sb 3.16
6 La 0.0000 0.5000 0.0000  2 Te 2.90
7 La 0.5000 0.0000 0.0000  2 Te 2.90

magnetization	0.0	μB per cell
space-group type	I4/mmm

Arrangement two

DFT (PBE-GGA) results for a geometry-optimized La4Sb2Te structure.

a = 8.3790 Å, b = 8.3790 Å, c = 8.3790 Å
α = 109.58°, β = 109.25°, γ = 109.58°
Last column: nearest neighbours and their distance in Å.
Positions (direct):
1 La 0.1267 0.8937 0.3786  4 Sb 3.21-3.47, 2 Te 3.23-3.51
2 La 0.6214 0.7481 0.5151  4 Sb 3.21-3.47, 2 Te 3.23-3.51
3 La 0.9830 0.6063 0.7349  4 Sb 3.21-3.47, 2 Te 3.23-3.51
4 La 0.2651 0.2481 0.8714  4 Sb 3.21-3.47, 2 Te 3.23-3.51
5 La 0.6233 0.7519 0.0170  4 Sb 3.21-3.47, 2 Te 3.23-3.51
6 La 0.7670 0.2519 0.8733  4 Sb 3.21-3.47, 2 Te 3.23-3.51
7 La 0.4848 0.1063 0.2330  4 Sb 3.21-3.47, 2 Te 3.23-3.51
8 La 0.1286 0.3937 0.3767  4 Sb 3.21-3.47, 2 Te 3.23-3.51
9 Sb 0.8750 0.1249 0.4999  8 La 3.21-3.47
10 Sb 0.5001 0.3751 0.6250  8 La 3.21-3.47
11 Sb 0.3750 0.8751 0.7501  8 La 3.21-3.47
12 Sb 0.2499 0.6249 0.1250  8 La 3.21-3.47
13 Te 0.0000 0.0000 0.0000  8 La 3.23-3.51
14 Te 0.7500 0.5000 0.2500  8 La 3.23-3.51

magnetization	0.0	μB per cell
space-group type	I-42d

Which one sits at the top of the stability order? arrangement two does.

Arrangement one

DFT (PBE-GGA) results for a geometry-optimized LaSb3Te structure.

a = 5.6585 Å, b = 5.6585 Å, c = 5.6585 Å
α = 90.00°, β = 90.00°, γ = 90.00°
Last column: nearest neighbours and their distance in Å.
Positions (direct):
1 Sb 0.0000 0.5000 0.0000  2 Te 2.83
2 Sb 0.0000 0.0000 0.5000  2 Te 2.83
3 Sb 0.5000 0.0000 0.0000  2 Te 2.83
4 Te 0.0000 0.0000 0.0000  6 Sb 2.83
5 La 0.5000 0.5000 0.5000  12 Sb 4.00

magnetization	0.0	μB per cell
space-group type	Pm-3m

Arrangement two

DFT (PBE-GGA) results for a geometry-optimized LaSb3Te structure.

a = 6.0456 Å, b = 6.0456 Å, c = 6.0456 Å
α = 90.00°, β = 90.00°, γ = 90.00°
Last column: nearest neighbours and their distance in Å.
Positions (direct):
1 Sb 0.0000 0.5000 0.0000  2 La 3.02
2 Sb 0.0000 0.0000 0.5000  2 La 3.02
3 Sb 0.5000 0.0000 0.0000  2 La 3.02
4 Te 0.5000 0.5000 0.5000  12 Sb 4.27
5 La 0.0000 0.0000 0.0000  6 Sb 3.02

magnetization	1.4	μB per cell
space-group type	Pm-3m

Which one sits at the top of the stability order? arrangement one does.

Arrangement one

DFT (PBE-GGA) results for a geometry-optimized La2SbTe2 structure.

a = 8.8482 Å, b = 8.8482 Å, c = 4.1978 Å
α = 90.00°, β = 90.00°, γ = 90.00°
Last column: nearest neighbours and their distance in Å.
Positions (direct):
1 Sb 0.0000 0.0000 0.0000  4 La 3.31
2 Sb 0.5000 0.5000 0.0000  4 La 3.31
3 Te 0.1388 0.6388 0.5000  6 La 3.25-3.40, 1 Te 3.47
4 Te 0.6388 0.8612 0.5000  6 La 3.25-3.40, 1 Te 3.47
5 Te 0.8612 0.3612 0.5000  6 La 3.25-3.40, 1 Te 3.47
6 Te 0.3612 0.1388 0.5000  6 La 3.25-3.40, 1 Te 3.47
7 La 0.3372 0.8372 0.0000  6 Te 3.25-3.40, 2 Sb 3.31
8 La 0.8372 0.6628 0.0000  6 Te 3.25-3.40, 2 Sb 3.31
9 La 0.6628 0.1628 0.0000  6 Te 3.25-3.40, 2 Sb 3.31
10 La 0.1628 0.3372 0.0000  6 Te 3.25-3.40, 2 Sb 3.31

magnetization	0.0	μB per cell
space-group type	P4/mbm

Arrangement two

DFT (PBE-GGA) results for a geometry-optimized La2SbTe2 structure.

a = 8.8932 Å, b = 8.8932 Å, c = 4.0602 Å
α = 90.00°, β = 90.00°, γ = 90.00°
Last column: nearest neighbours and their distance in Å.
Positions (direct):
1 Sb 0.0000 0.0000 0.0000  4 Te 3.46
2 Sb 0.5000 0.5000 0.0000  4 Te 3.46
3 Te 0.3651 0.8651 0.0000  6 La 3.23-3.37, 1 Te 3.39, 2 Sb 3.46
4 Te 0.8651 0.6349 0.0000  6 La 3.23-3.37, 1 Te 3.39, 2 Sb 3.46
5 Te 0.6349 0.1349 0.0000  6 La 3.23-3.37, 1 Te 3.39, 2 Sb 3.46
6 Te 0.1349 0.3651 0.0000  6 La 3.23-3.37, 1 Te 3.39, 2 Sb 3.46
7 La 0.1657 0.6657 0.5000  6 Te 3.23-3.37
8 La 0.6657 0.8343 0.5000  6 Te 3.23-3.37
9 La 0.8343 0.3343 0.5000  6 Te 3.23-3.37
10 La 0.3343 0.1657 0.5000  6 Te 3.23-3.37

magnetization	0.0	μB per cell
space-group type	P4/mbm

Which one sits at the top of the stability order? arrangement one does.